# NaIn3Ge

An optimized crystal structure of NaIn3Ge (GGA-PBE, the Alexandria database).

Structure (POSCAR):
```
NaIn3Ge
1.0
-0.808 1.177 -5.264
-1.795 -5.078 -0.860
-5.086 1.605 1.139
In Ge Na
3 1 1
direct
0.000 0.500 0.000
0.500 0.000 0.000
0.000 0.000 0.500
0.000 0.000 0.000
0.500 0.500 0.500
```

Results
ρ, Mg/m³: 4.50
Formation energy from the elements, eV/atom: 0.25
Crystal system: cubic
Energy above the lowest structure with this stoichiometry, eV per formula unit: 1.297